## Tm6InGe2 (PBE)

Data for crystalline Tm6InGe2 at its relaxed geometry.

* E_form: -553 meV/atom

abc: 9.444 9.491 10.312
angles: 90.00 90.00 90.00
Space group Immm (No. 71)
Unique sites:
Tm: 0.000 0.204 0.177 (multiplicity 8)
Tm: 0.183 0.223 0.500 (multiplicity 8)
Tm: 0.201 0.500 0.253 (multiplicity 8)
In: 0.000 0.500 0.000 (multiplicity 2)
In: 0.000 0.500 0.500 (multiplicity 2)
Ge: 0.000 0.000 0.376 (multiplicity 4)
Ge: 0.151 0.000 0.000 (multiplicity 4)